(1)
Zn2ReBr PBE relaxed; E = -3.2211 eV/atom; symmetry = I-42d; formation energy (no corrections) = 946 meV per atom
1.0
-2.8855 -3.4566 6.0607
-1.0337 -6.2743 -4.0707
0.5039 -5.7172 1.6821
Zn Re Br
4 2 2
direct
0.8750 0.9024 0.7500
0.3750 0.3476 0.7500
0.6524 0.1250 0.2500
0.0976 0.6250 0.2500
0.7500 0.2500 0.5000
0.0000 0.0000 0.0000
0.5000 0.5000 0.0000
0.2500 0.7500 0.5000

***

(2)
Zn2ReBr PBE relaxed; E = -3.8069 eV/atom; symmetry = Pmmm; formation energy (no corrections) = 360 meV per atom
1.0
3.1700 0.0000 0.0000
0.0000 2.7493 -0.0045
0.0000 0.0151 8.4028
Br Zn Re
1 2 1
direct
0.5000 0.2500 0.2500
0.0000 0.2501 0.5492
0.0000 0.2499 0.9508
0.5000 0.7500 0.7500

***

(3)
Zn2ReBr PBE relaxed; E = -3.5238 eV/atom; symmetry = P4mm; formation energy (no corrections) = 643 meV per atom
1.0
-0.4542 -1.9193 -2.2764
-1.9919 -1.5158 1.6753
-5.9292 4.7100 -2.7881
Re Br Zn
1 1 2
direct
0.5000 0.5000 0.7664
0.0000 0.0000 0.5669
0.0000 0.0000 0.9759
0.5000 0.5000 0.1908

***

(4)
Zn2ReBr PBE relaxed; E = -3.6713 eV/atom; symmetry = Cmmm; formation energy (no corrections) = 496 meV per atom
1.0
2.9839 -0.0063 0.0000
-1.0319 2.7999 0.0000
0.0000 0.0000 8.3870
Br Zn Re
1 2 1
direct
0.5000 0.5000 0.2500
0.0000 0.0000 0.9794
0.0000 0.0000 0.5206
0.5000 0.5000 0.7500

***

(5)
Zn2ReBr PBE relaxed; E = -3.4129 eV/atom; symmetry = Pmm2; formation energy (no corrections) = 754 meV per atom
1.0
2.9521 0.0000 0.0000
0.0000 4.0359 0.0000
0.0000 0.0000 5.8429
Zn Re Br
2 1 1
direct
0.0000 0.0000 0.9719
0.5000 0.5000 0.2327
0.5000 0.5000 0.7968
0.0000 0.0000 0.4987

***

(6)
Zn2ReBr PBE relaxed; E = -3.7448 eV/atom; symmetry = R-3m; formation energy (no corrections) = 422 meV per atom
1.0
-6.5109 0.4408 5.1243
-4.7400 -1.7179 6.5898
-4.1778 1.3521 7.0401
Re Br Zn
1 1 2
direct
0.7500 0.7500 0.7500
0.2500 0.2500 0.2500
0.0045 0.0045 0.0045
0.4955 0.4955 0.4955

***

(7)
Zn2ReBr8 PBE relaxed; E = -3.1099 eV/atom; symmetry = C2/m; formation energy (no corrections) = -530 meV per atom
1.0
-0.2880 5.8024 -2.7045
-7.3186 1.2980 3.8885
-0.3729 3.4004 7.6593
Zn Br Re
2 8 1
direct
0.5831 0.8364 0.8364
0.4169 0.1636 0.1636
0.3523 0.3182 0.3182
0.1945 0.8495 0.8495
0.2409 0.2841 0.8491
0.7591 0.1509 0.7159
0.8055 0.1505 0.1505
0.6477 0.6818 0.6818
0.2409 0.8491 0.2841
0.7591 0.7159 0.1509
0.0000 0.0000 0.0000

***

(8)
Zn2ReBr PBE relaxed; E = -3.3871 eV/atom; symmetry = Immm; formation energy (no corrections) = 780 meV per atom
1.0
-5.0320 2.4622 1.3067
-5.0785 -2.3166 -1.3903
5.0298 -0.2629 2.7789
Re Zn Br
1 2 1
direct
0.2500 0.7500 0.5000
0.0259 0.0259 0.0000
0.4741 0.4741 0.0000
0.7500 0.2500 0.5000

***

(9)
Zn2ReBr PBE relaxed; E = -3.7543 eV/atom; symmetry = Cm; formation energy (no corrections) = 413 meV per atom
1.0
-2.8697 -3.7379 -0.8869
-0.4735 -4.0277 -2.5588
2.3362 -4.4648 4.1221
Br Zn Re
1 2 1
direct
0.3841 0.3841 0.5243
0.0469 0.0469 0.9483
0.2780 0.2780 0.1774
0.7910 0.7910 0.8499

***

(10)
Zn2ReBr PBE relaxed; E = -3.4603 eV/atom; symmetry = P4/mmm; formation energy (no corrections) = 707 meV per atom
1.0
-2.2205 1.6083 -1.1217
0.8053 -1.9250 -4.3542
-3.0928 -3.5688 1.0057
Br Re Zn
1 1 2
direct
0.5000 0.5000 0.0000
0.5000 0.0000 0.5000
0.0000 0.5000 0.5000
0.0000 0.0000 0.0000

***

(11)
Zn2ReBr PBE relaxed; E = -3.2275 eV/atom; symmetry = I-4m2; formation energy (no corrections) = 940 meV per atom
1.0
5.1630 -0.0005 0.0000
2.1676 4.6859 0.0000
-3.6653 -2.3427 2.7810
Re Br Zn
1 1 2
direct
0.7500 0.2500 0.5000
0.5000 0.5000 0.0000
0.0000 0.0000 0.0000
0.2500 0.7500 0.5000

***

(12)
ZrRe2Br PBE relaxed; E = -7.9144 eV/atom; symmetry = I-4m2; formation energy (no corrections) = 865 meV per atom
1.0
4.6890 -0.0238 0.0000
0.3315 4.6774 0.0000
-2.5103 -2.3268 3.2050
Re Zr Br
2 1 1
direct
0.2500 0.7500 0.5000
0.0000 0.0000 0.0000
0.5000 0.5000 0.0000
0.7500 0.2500 0.5000